1.
DFT (GGA-PBE) results for a geometry-optimized Li3PS4 structure.

- density of states at the Fermi level (states/eV/cell) = 0.00
- energy relative to the elements, uncorrected (meV/atom) = -916
- SG = No. 62

```
Li3PS4
1.0
6.246 0.000 0.000
0.000 7.798 0.000
0.000 0.000 13.566
S Li P
16 12 4
direct
0.315 0.250 0.954
0.685 0.750 0.046
0.697 0.966 0.832
0.303 0.034 0.168
0.803 0.534 0.332
0.131 0.750 0.906
0.697 0.534 0.832
0.185 0.250 0.454
0.197 0.034 0.668
0.369 0.750 0.406
0.631 0.250 0.594
0.803 0.966 0.332
0.869 0.250 0.094
0.815 0.750 0.546
0.303 0.466 0.168
0.197 0.466 0.668
0.299 0.497 0.843
0.201 0.003 0.343
0.299 0.003 0.843
0.224 0.750 0.571
0.276 0.750 0.071
0.701 0.997 0.157
0.776 0.250 0.429
0.724 0.250 0.929
0.799 0.997 0.657
0.201 0.497 0.343
0.701 0.503 0.157
0.799 0.503 0.657
0.300 0.250 0.596
0.800 0.750 0.904
0.700 0.750 0.404
0.200 0.250 0.096
```

---

2.
DFT (GGA-PBE) results for a geometry-optimized LiPS3 structure.

- density of states at the Fermi level (states/eV/cell) = 0.00
- energy relative to the elements, uncorrected (meV/atom) = -567
- energy relative to the lowest polymorph listed for this composition (eV per atom) = 0.000
- SG = No. 2

```
LiPS3
1.0
5.794 0.133 0.430
0.388 8.156 2.061
0.436 0.532 5.790
P S Li
2 6 2
direct
0.744 0.269 0.986
0.741 0.636 0.796
0.921 0.452 0.066
0.968 0.764 0.513
0.517 0.141 0.269
0.512 0.782 0.937
0.973 0.123 0.845
0.564 0.453 0.716
0.737 0.899 0.169
0.747 0.006 0.614
```

---

3.
DFT (GGA-PBE) results for a geometry-optimized LiP2S2 structure.

- density of states at the Fermi level (states/eV/cell) = 3.16
- energy relative to the elements, uncorrected (meV/atom) = 612
- energy relative to the lowest polymorph listed for this composition (eV per atom) = 0.331
- SG = No. 123

```
LiP2S2
1.0
4.595 0.000 0.000
0.000 4.595 0.000
0.000 0.000 4.677
S Li P
2 1 2
direct
0.000 0.000 0.000
0.000 0.000 0.500
0.500 0.500 0.500
0.000 0.500 0.000
0.500 0.000 0.000
```

---

4.
DFT (GGA-PBE) results for a geometry-optimized LiP2S structure.

- density of states at the Fermi level (states/eV/cell) = 4.93
- energy relative to the elements, uncorrected (meV/atom) = 323
- SG = No. 122

```
LiP2S
1.0
-5.868 1.576 -0.714
-1.495 -3.348 4.898
-3.091 2.418 4.530
S P Li
2 4 2
direct
0.000 0.000 0.000
0.750 0.250 0.500
0.667 0.125 0.250
0.875 0.917 0.750
0.083 0.625 0.250
0.375 0.333 0.750
0.500 0.500 0.000
0.250 0.750 0.500
```

---

5.
DFT (GGA-PBE) results for a geometry-optimized Li2PS3 structure.

- density of states at the Fermi level (states/eV/cell) = 3.32
- energy relative to the elements, uncorrected (meV/atom) = -719
- energy relative to the lowest polymorph listed for this composition (eV per atom) = 0.064
- SG = No. 185

```
Li2PS3
1.0
3.082 -5.338 0.000
3.082 5.338 0.000
0.000 0.000 6.403
P Li S
2 4 6
direct
0.000 0.000 0.207
0.000 0.000 0.707
0.667 0.333 0.995
0.333 0.667 0.995
0.333 0.667 0.495
0.667 0.333 0.495
0.000 0.672 0.241
0.672 0.672 0.741
0.328 0.000 0.741
0.672 0.000 0.241
0.328 0.328 0.241
0.000 0.328 0.741
```

---

6.
DFT (GGA-PBE) results for a geometry-optimized LiPS3 structure.

- density of states at the Fermi level (states/eV/cell) = 0.00
- energy relative to the elements, uncorrected (meV/atom) = -516
- energy relative to the lowest polymorph listed for this composition (eV per atom) = 0.052
- SG = No. 15

```
LiPS3
1.0
-5.505 1.686 1.150
-5.011 -6.848 -3.426
-1.214 -2.693 8.661
S P Li
12 4 4
direct
0.654 0.994 0.795
0.944 0.614 0.715
0.846 0.205 0.006
0.444 0.715 0.614
0.352 0.432 0.849
0.346 0.006 0.205
0.648 0.568 0.151
0.154 0.795 0.994
0.852 0.849 0.432
0.556 0.285 0.386
0.056 0.386 0.285
0.148 0.151 0.568
0.740 0.809 0.641
0.760 0.359 0.191
0.260 0.191 0.359
0.240 0.641 0.809
0.250 0.733 0.267
0.750 0.267 0.733
0.750 0.959 0.041
0.250 0.041 0.959
```

---

7.
DFT (GGA-PBE) results for a geometry-optimized LiP2S2 structure.

- density of states at the Fermi level (states/eV/cell) = 3.40
- energy relative to the elements, uncorrected (meV/atom) = 975
- energy relative to the lowest polymorph listed for this composition (eV per atom) = 0.694
- SG = No. 123

```
LiP2S2
1.0
-4.030 2.184 0.449
-2.098 -3.402 -2.288
-0.646 -1.893 3.408
P S Li
2 2 1
direct
0.000 0.500 0.000
0.500 0.000 0.000
0.000 0.000 0.500
0.500 0.500 0.500
0.000 0.000 0.000
```

---

8.
DFT (GGA-PBE) results for a geometry-optimized LiSbP2S structure.

- density of states at the Fermi level (states/eV/cell) = 3.54
- energy relative to the elements, uncorrected (meV/atom) = 630
- energy relative to the lowest polymorph listed for this composition (eV per atom) = 0.000
- SG = No. 123

```
LiSbP2S
1.0
4.410 0.000 0.000
0.000 4.410 0.000
0.000 0.000 4.679
S Li P Sb
1 1 2 1
direct
0.000 0.000 0.500
0.000 0.000 0.000
0.000 0.500 0.000
0.500 0.000 0.000
0.500 0.500 0.500
```

---

9.
DFT (GGA-PBE) results for a geometry-optimized LiScPS2 structure.

- density of states at the Fermi level (states/eV/cell) = 3.19
- energy relative to the elements, uncorrected (meV/atom) = -403
- energy relative to the lowest polymorph listed for this composition (eV per atom) = 0.000
- SG = No. 123

```
LiScPS2
1.0
-1.340 -3.533 3.201
4.757 -1.205 0.661
0.311 3.294 3.766
P Sc S Li
1 1 2 1
direct
0.000 0.000 0.500
0.000 0.000 0.000
0.000 0.500 0.000
0.500 0.000 0.000
0.500 0.500 0.500
```

---

10.
DFT (GGA-PBE) results for a geometry-optimized LiScP2S structure.

- density of states at the Fermi level (states/eV/cell) = 2.82
- energy relative to the elements, uncorrected (meV/atom) = 17
- energy relative to the lowest polymorph listed for this composition (eV per atom) = 0.103
- SG = No. 123

```
LiScP2S
1.0
-0.004 -2.125 -3.580
-3.052 -2.433 1.448
-3.335 3.093 -1.832
P S Li Sc
2 1 1 1
direct
0.500 0.000 0.000
0.000 0.500 0.000
0.000 0.000 0.500
0.000 0.000 0.000
0.500 0.500 0.500
```

---

11.
DFT (GGA-PBE) results for a geometry-optimized LiScP2S structure.

- density of states at the Fermi level (states/eV/cell) = 4.52
- energy relative to the elements, uncorrected (meV/atom) = -86
- energy relative to the lowest polymorph listed for this composition (eV per atom) = 0.000
- SG = No. 123

```
LiScP2S
1.0
-1.904 4.118 -2.005
-4.465 -1.183 1.809
1.023 2.498 4.160
Sc P S Li
1 2 1 1
direct
0.000 0.000 0.000
0.000 0.500 0.000
0.500 0.000 0.000
0.000 0.000 0.500
0.500 0.500 0.500
```

---

12.
DFT (GGA-PBE) results for a geometry-optimized LiScPS2 structure.

- density of states at the Fermi level (states/eV/cell) = 2.39
- energy relative to the elements, uncorrected (meV/atom) = -168
- energy relative to the lowest polymorph listed for this composition (eV per atom) = 0.235
- SG = No. 123

```
LiScPS2
1.0
-0.391 4.280 1.442
-4.309 0.080 -1.405
-1.242 -1.371 3.731
P Li S Sc
1 1 2 1
direct
0.000 0.000 0.500
0.000 0.000 0.000
0.500 0.000 0.000
0.000 0.500 0.000
0.500 0.500 0.500
```